Density functional theory data (SCAN) for LaMgHg at its PBEsol-relaxed geometry.

The energy of formation from the pure elements is -0.520 eV per atom. The density of states at the Fermi level comes out at 2.27 states/eV per cell. The value obtained for the calculated volume is 77.1 Å³/cell. Its total DFT energy (no corrections) is -117.80 eV for the cell shown.

Lattice parameters (Å, degrees): 5.0292 5.0292 3.5211 90.00 90.00 120.00
Space group P-6m2 (No. 187)
One atom of each set of equivalent atoms:
1 La 0.0000 0.0000 0.0000 x1
2 Mg 0.3333 0.6667 0.5000 x1
3 Hg 0.6667 0.3333 0.5000 x1

***

Density functional theory data (SCAN) for LaMg2Hg at its PBEsol-relaxed geometry.

The energy of formation from the pure elements is -0.294 eV per atom. The density of states at the Fermi level comes out at 2.74 states/eV per cell. The value obtained for the calculated volume is 103.7 Å³/cell. Its total DFT energy (no corrections) is -122.40 eV for the cell shown.

Lattice parameters (Å, degrees): 4.369 4.720 5.028 90.00 90.00 90.00
Space group Pmmm (No. 47)
One atom of each set of equivalent atoms:
1 La 0.000 0.000 0.000 x1
2 Mg 0.000 0.500 0.500 x1
3 Mg 0.500 0.000 0.500 x1
4 Hg 0.500 0.500 0.000 x1

***

Density functional theory data (SCAN) for LaMg2Hg at its PBEsol-relaxed geometry.

The energy of formation from the pure elements is -0.418 eV per atom. The density of states at the Fermi level comes out at 6.73 states/eV per cell. The value obtained for the calculated volume is 395.1 Å³/cell. Its total DFT energy (no corrections) is -491.56 eV for the cell shown.

Lattice parameters (Å, degrees): 7.338 7.338 7.338 90.00 90.00 90.00
Space group F-43m (No. 216)
One atom of each set of equivalent atoms:
1 La 0.000 0.000 0.000 x4
2 Mg 0.000 0.000 0.500 x4
3 Mg 0.250 0.250 0.750 x4
4 Hg 0.250 0.250 0.250 x4

***

Density functional theory data (SCAN) for LaMg2Hg at its PBEsol-relaxed geometry.

The energy of formation from the pure elements is -0.283 eV per atom. The density of states at the Fermi level comes out at 2.13 states/eV per cell. The value obtained for the calculated volume is 101.4 Å³/cell. Its total DFT energy (no corrections) is -122.35 eV for the cell shown.

Lattice parameters (Å, degrees): 3.360 4.941 6.208 90.00 100.22 90.00
Space group P2/m (No. 10)
One atom of each set of equivalent atoms:
1 La 0.000 0.000 0.000 x1
2 Mg 0.368 0.500 0.724 x2
3 Hg 0.500 0.000 0.500 x1

***

Density functional theory data (SCAN) for LaMg2Hg2 at its PBEsol-relaxed geometry.

The energy of formation from the pure elements is -0.583 eV per atom. The density of states at the Fermi level comes out at 7.09 states/eV per cell. The value obtained for the calculated volume is 246.7 Å³/cell. Its total DFT energy (no corrections) is -384.60 eV for the cell shown.

Lattice parameters (Å, degrees): 4.399 4.399 12.751 90.00 90.00 90.00
Space group I4/mmm (No. 139)
One atom of each set of equivalent atoms:
1 La 0.000 0.000 0.000 x2
2 Mg 0.000 0.500 0.250 x4
3 Hg 0.000 0.000 0.389 x4

***

Density functional theory data (SCAN) for La2MgHg2 at its PBEsol-relaxed geometry.

The energy of formation from the pure elements is -0.610 eV per atom. The density of states at the Fermi level comes out at 8.40 states/eV per cell. The value obtained for the calculated volume is 284.9 Å³/cell. Its total DFT energy (no corrections) is -461.13 eV for the cell shown.

Lattice parameters (Å, degrees): 8.340 8.340 4.095 90.00 90.00 90.00
Space group P4/mbm (No. 127)
One atom of each set of equivalent atoms:
1 La 0.170 0.330 0.000 x4
2 Mg 0.000 0.000 0.500 x2
3 Hg 0.131 0.631 0.500 x4

***

Density functional theory data (SCAN) for LaMgMnHg2 at its PBEsol-relaxed geometry.

The energy of formation from the pure elements is -0.110 eV per atom. The density of states at the Fermi level comes out at 3.62 states/eV per cell. The value obtained for the calculated volume is 123.3 Å³/cell. Its total DFT energy (no corrections) is -203.22 eV for the cell shown.

Lattice parameters (Å, degrees): 5.032 5.032 4.871 90.00 90.00 90.00
Space group P4/mmm (No. 123)
One atom of each set of equivalent atoms:
1 La 0.000 0.000 0.000 x1
2 Mg 0.500 0.500 0.000 x1
3 Mn 0.500 0.500 0.500 x1
4 Hg 0.000 0.500 0.500 x2

***

Density functional theory data (SCAN) for LaMn2Hg at its PBEsol-relaxed geometry.

The energy of formation from the pure elements is -0.079 eV per atom. The density of states at the Fermi level comes out at 13.22 states/eV per cell. The value obtained for the calculated volume is 341.3 Å³/cell. Its total DFT energy (no corrections) is -592.39 eV for the cell shown.

Lattice parameters (Å, degrees): 6.988 6.988 6.988 90.00 90.00 90.00
Space group F-43m (No. 216)
One atom of each set of equivalent atoms:
1 La 0.000 0.000 0.000 x4
2 Mn 0.000 0.000 0.500 x4
3 Mn 0.250 0.250 0.750 x4
4 Hg 0.250 0.250 0.250 x4

***

Density functional theory data (SCAN) for LaHgMo at its PBEsol-relaxed geometry.

The energy of formation from the pure elements is 0.396 eV per atom. The density of states at the Fermi level comes out at 3.91 states/eV per cell. The value obtained for the calculated volume is 127.8 Å³/cell. Its total DFT energy (no corrections) is -289.94 eV for the cell shown.

Lattice parameters (Å, degrees): 2.990 2.990 14.292 90.00 90.00 90.00
Space group I4mm (No. 107)
One atom of each set of equivalent atoms:
1 La 0.000 0.000 0.000 x2
2 Hg 0.000 0.000 0.685 x2
3 Mo 0.000 0.000 0.328 x2

***

Density functional theory data (SCAN) for La2HgMo at its PBEsol-relaxed geometry.

The energy of formation from the pure elements is 0.426 eV per atom. The density of states at the Fermi level comes out at 10.90 states/eV per cell. The value obtained for the calculated volume is 296.3 Å³/cell. Its total DFT energy (no corrections) is -562.67 eV for the cell shown.

Lattice parameters (Å, degrees): 3.4266 3.4266 29.1429 90.00 90.00 120.00
Space group R3m (No. 160, hexagonal axes)
One atom of each set of equivalent atoms:
1 La 0.0000 0.0000 0.0000 x3
2 La 0.0000 0.0000 0.2303 x3
3 Hg 0.0000 0.0000 0.7568 x3
4 Mo 0.0000 0.0000 0.4943 x3

***

Density functional theory data (SCAN) for LaHgMo at its PBEsol-relaxed geometry.

The energy of formation from the pure elements is 0.946 eV per atom. The density of states at the Fermi level comes out at 5.02 states/eV per cell. The value obtained for the calculated volume is 339.7 Å³/cell. Its total DFT energy (no corrections) is -573.27 eV for the cell shown.

Lattice parameters (Å, degrees): 6.977 6.977 6.977 90.00 90.00 90.00
Space group F-43m (No. 216)
One atom of each set of equivalent atoms:
1 La 0.000 0.000 0.000 x4
2 Hg 0.250 0.250 0.250 x4
3 Mo 0.250 0.250 0.750 x4

***

Density functional theory data (SCAN) for La2HgMo at its PBEsol-relaxed geometry.

The energy of formation from the pure elements is 0.199 eV per atom. The density of states at the Fermi level comes out at 14.01 states/eV per cell. The value obtained for the calculated volume is 364.9 Å³/cell. Its total DFT energy (no corrections) is -753.86 eV for the cell shown.

Lattice parameters (Å, degrees): 7.146 7.146 7.146 90.00 90.00 90.00
Space group F-43m (No. 216)
One atom of each set of equivalent atoms:
1 La 0.000 0.000 0.000 x4
2 La 0.250 0.250 0.250 x4
3 Hg 0.000 0.000 0.500 x4
4 Mo 0.250 0.250 0.750 x4

***

Density functional theory data (SCAN) for La2HgMo at its PBEsol-relaxed geometry.

The energy of formation from the pure elements is 0.417 eV per atom. The density of states at the Fermi level comes out at 7.83 states/eV per cell. The value obtained for the calculated volume is 197.0 Å³/cell. Its total DFT energy (no corrections) is -375.19 eV for the cell shown.

Lattice parameters (Å, degrees): 3.568 5.337 10.345 90.00 90.00 90.00
Space group Cmm2 (No. 35)
One atom of each set of equivalent atoms:
1 La 0.000 0.000 0.000 x2
2 La 0.000 0.500 0.331 x2
3 Hg 0.000 0.000 0.589 x2
4 Mo 0.000 0.500 0.800 x2

***

Density functional theory data (SCAN) for LaHgMo at its PBEsol-relaxed geometry.

The energy of formation from the pure elements is 0.396 eV per atom. The density of states at the Fermi level comes out at 6.31 states/eV per cell. The value obtained for the calculated volume is 135.4 Å³/cell. Its total DFT energy (no corrections) is -289.94 eV for the cell shown.

Lattice parameters (Å, degrees): 3.104 3.884 11.228 90.00 90.00 90.00
Space group Imm2 (No. 44)
One atom of each set of equivalent atoms:
1 La 0.000 0.000 0.000 x2
2 Hg 0.000 0.000 0.297 x2
3 Mo 0.000 0.000 0.677 x2

***

Density functional theory data (SCAN) for Na2LaHg2 at its PBEsol-relaxed geometry.

The energy of formation from the pure elements is -0.387 eV per atom. The density of states at the Fermi level comes out at 5.54 states/eV per cell. The value obtained for the calculated volume is 268.3 Å³/cell. Its total DFT energy (no corrections) is -379.61 eV for the cell shown.

Lattice parameters (Å, degrees): 4.250 4.250 14.858 90.00 90.00 90.00
Space group I4/mmm (No. 139)
One atom of each set of equivalent atoms:
1 Na 0.000 0.500 0.250 x4
2 La 0.000 0.000 0.000 x2
3 Hg 0.000 0.000 0.400 x4

***

Density functional theory data (SCAN) for NaLaHg2 at its PBEsol-relaxed geometry.

The energy of formation from the pure elements is -0.581 eV per atom. The density of states at the Fermi level comes out at 10.71 states/eV per cell. The value obtained for the calculated volume is 408.8 Å³/cell. Its total DFT energy (no corrections) is -743.90 eV for the cell shown.

Lattice parameters (Å, degrees): 7.422 7.422 7.422 90.00 90.00 90.00
Space group Fm-3m (No. 225)
One atom of each set of equivalent atoms:
1 Na 0.000 0.000 0.000 x4
2 La 0.000 0.000 0.500 x4
3 Hg 0.250 0.250 0.250 x8

***

Density functional theory data (SCAN) for NaLa2Hg2 at its PBEsol-relaxed geometry.

The energy of formation from the pure elements is -0.534 eV per atom. The density of states at the Fermi level comes out at 6.24 states/eV per cell. The value obtained for the calculated volume is 296.1 Å³/cell. Its total DFT energy (no corrections) is -458.86 eV for the cell shown.

Lattice parameters (Å, degrees): 8.859 8.859 3.773 90.00 90.00 90.00
Space group P4/mbm (No. 127)
One atom of each set of equivalent atoms:
1 Na 0.000 0.000 0.000 x2
2 La 0.164 0.336 0.500 x4
3 Hg 0.131 0.631 0.000 x4

***

Density functional theory data (SCAN) for NaLaHg2Pt at its PBEsol-relaxed geometry.

The energy of formation from the pure elements is -0.161 eV per atom. The density of states at the Fermi level comes out at 4.47 states/eV per cell. The value obtained for the calculated volume is 133.0 Å³/cell. Its total DFT energy (no corrections) is -254.65 eV for the cell shown.

Lattice parameters (Å, degrees): 5.180 5.180 4.959 90.00 90.00 90.00
Space group P4/mmm (No. 123)
One atom of each set of equivalent atoms:
1 Na 0.000 0.000 0.000 x1
2 La 0.500 0.500 0.000 x1
3 Hg 0.000 0.500 0.500 x2
4 Pt 0.000 0.000 0.500 x1

***

Density functional theory data (SCAN) for RbLaNbHg2 at its PBEsol-relaxed geometry.

The energy of formation from the pure elements is 0.698 eV per atom. The density of states at the Fermi level comes out at 4.01 states/eV per cell. The value obtained for the calculated volume is 187.7 Å³/cell. Its total DFT energy (no corrections) is -229.82 eV for the cell shown.

Lattice parameters (Å, degrees): 6.043 6.043 5.140 90.00 90.00 90.00
Space group P4/mmm (No. 123)
One atom of each set of equivalent atoms:
1 Rb 0.000 0.000 0.000 x1
2 La 0.500 0.500 0.500 x1
3 Nb 0.500 0.500 0.000 x1
4 Hg 0.000 0.500 0.500 x2

***

Density functional theory data (SCAN) for La2NiHg at its PBEsol-relaxed geometry.

The energy of formation from the pure elements is -0.402 eV per atom. The density of states at the Fermi level comes out at 6.99 states/eV per cell. The value obtained for the calculated volume is 327.4 Å³/cell. Its total DFT energy (no corrections) is -516.48 eV for the cell shown.

Lattice parameters (Å, degrees): 3.9734 3.9734 23.9479 90.00 90.00 120.00
Space group R-3m (No. 166, hexagonal axes)
One atom of each set of equivalent atoms:
1 La 0.0000 0.0000 0.2345 x6
2 Ni 0.0000 0.0000 0.5000 x3
3 Hg 0.0000 0.0000 0.0000 x3